No. 1
The following is a GGA-PBE calculation of a relaxed structure of MgTl3Bi2, from the Alexandria database.

a = 6.8708 Å, b = 6.8075 Å, c = 9.6816 Å
α = 110.58°, β = 110.78°, γ = 90.00°
Fractional coordinates of all 12 atoms:
Mg  0.0000  0.2500  0.0000
Tl  0.5000  0.2500  0.0000
Bi  0.6667  0.8774  0.7548
Tl  0.8863  0.1763  0.3525
Mg  0.0000  0.7500  0.0000
Bi  0.3333  0.1226  0.2452
Tl  0.4663  0.6763  0.3525
Tl  0.1137  0.8237  0.6475
Tl  0.5000  0.7500  0.0000
Bi  0.9119  0.6226  0.2452
Bi  0.0881  0.3774  0.7548
Tl  0.5337  0.3237  0.6475

- ρ (g/cm3) = 8.93
- formation energy from the elements (eV per formula unit) = -0.3
- energy (eV/atom) = -2.797
- space-group type = Ibam, No. 72


No. 2
The following is a GGA-PBE calculation of a relaxed structure of NaAlIrO4, from the Alexandria database.

a = 5.8860 Å, b = 6.1074 Å, c = 6.3820 Å
α = 121.50°, β = 90.00°, γ = 118.81°
Fractional coordinates of all 14 atoms:
Na  0.1425  0.2850  0.8925
O  0.2643  0.5286  0.3165
Na  0.8575  0.7150  0.1075
Ir  0.5000  0.0000  0.5000
O  0.3074  0.0487  0.2743
Ir  0.5000  0.0000  0.0000
O  0.7357  0.4714  0.2879
O  0.7357  0.4714  0.6835
O  0.7412  0.0487  0.2743
O  0.2588  0.9513  0.7257
Al  0.0000  0.5000  0.5000
Al  0.5000  0.5000  0.5000
O  0.6926  0.9513  0.7257
O  0.2643  0.5286  0.7121

- ρ (g/cm3) = 6.30
- energy (eV/atom) = -6.524
- space-group type = Imma, No. 74
- formation energy without anion corrections (meV/atom) = -1702


No. 3
The following is a GGA-PBE calculation of a relaxed structure of CsZrCrFe2, from the Alexandria database.

a = 4.6969 Å, b = 4.8635 Å, c = 4.6969 Å
α = 90.00°, β = 90.00°, γ = 90.00°
Fractional coordinates of all 5 atoms:
Cs  0.0000  0.0000  0.0000
Fe  0.0000  0.0000  0.5000
Cr  0.0000  0.5000  0.0000
Zr  0.5000  0.5000  0.5000
Fe  0.5000  0.0000  0.0000

- ρ (g/cm3) = 6.00
- formation energy from the elements (eV per formula unit) = 11.8
- energy (eV/atom) = -4.835
- space-group type = P4/mmm, No. 123


No. 4
The following is a GGA-PBE calculation of a relaxed structure of Pr8Bi2Pd, from the Alexandria database.

a = 4.9346 Å, b = 7.6216 Å, c = 10.1466 Å
α = 99.03°, β = 104.07°, γ = 90.00°
Fractional coordinates of all 11 atoms:
Pr  0.0066  0.7744  0.0133
Pr  0.9934  0.2256  0.9867
Bi  0.8169  0.2282  0.6337
Pr  0.2133  0.3475  0.4266
Bi  0.1831  0.7718  0.3663
Pr  0.7867  0.6525  0.5734
Pd  0.5000  0.0000  0.0000
Pr  0.4066  0.4966  0.8132
Pr  0.5934  0.5034  0.1868
Pr  0.3523  0.9697  0.7047
Pr  0.6477  0.0303  0.2953

- ρ (g/cm3) = 7.51
- formation energy from the elements (eV per formula unit) = -4.5
- energy (eV/atom) = -5.066
- space-group type = C2/m, No. 12


No. 5
The following is a GGA-PBE calculation of a relaxed structure of HPdF, from the Alexandria database.

a = 3.0545 Å, b = 3.0549 Å, c = 7.9154 Å
α = 80.47°, β = 80.48°, γ = 62.25°
Fractional coordinates of all 6 atoms:
H  0.7570  0.3631  0.6056
Pd  0.0547  0.6601  0.6865
F  0.4651  0.0701  0.9223
H  0.3398  0.9452  0.0501
F  0.2030  0.8087  0.1927
Pd  0.6561  0.2618  0.4085

- ρ (g/cm3) = 6.55
- energy (eV/atom) = -4.213
- space-group type = Cm, No. 8
- E above lowest polymorph (meV per atom) = 89


No. 6
The following is a GGA-PBE calculation of a relaxed structure of CeYPu2, from the Alexandria database.

a = 3.3592 Å, b = 3.3592 Å, c = 9.5047 Å
α = 90.00°, β = 90.00°, γ = 90.00°
Fractional coordinates of all 4 atoms:
Ce  0.5000  0.5000  0.0000
Y  0.5000  0.5000  0.5000
Pu  0.0000  0.0000  0.7729
Pu  0.0000  0.0000  0.2271

- ρ (g/cm3) = 11.10
- formation energy from the elements (eV per formula unit) = 0.6
- energy (eV/atom) = -10.109
- space-group type = P4/mmm, No. 123
- E above lowest polymorph (meV per atom) = 0


No. 7
The following is a GGA-PBE calculation of a relaxed structure of CoAgP2, from the Alexandria database.

a = 4.1318 Å, b = 3.2933 Å, c = 4.4719 Å
α = 89.02°, β = 90.00°, γ = 90.00°
Fractional coordinates of all 4 atoms:
P  0.0000  0.8728  0.0078
Co  0.5000  0.8782  0.8258
P  0.5000  0.3702  0.1442
Ag  0.0000  0.3788  0.5221

- ρ (g/cm3) = 6.24
- formation energy from the elements (eV per formula unit) = 0.8
- energy (eV/atom) = -4.993
- space-group type = Pm, No. 6
- E above lowest polymorph (meV per atom) = 163


No. 8
The following is a GGA-PBE calculation of a relaxed structure of Ge3Bi3Au8, from the Alexandria database.

a = 4.4580 Å, b = 8.4374 Å, c = 9.4377 Å
α = 66.90°, β = 76.34°, γ = 74.68°
Fractional coordinates of all 14 atoms:
Bi  0.7012  0.2130  0.3845
Au  0.5227  0.6345  0.3200
Ge  0.3200  0.3449  0.0152
Bi  0.0000  0.0000  0.0000
Au  0.4773  0.3655  0.6800
Ge  0.0000  0.5000  0.5000
Au  0.8795  0.8462  0.3948
Au  0.1205  0.1538  0.6052
Au  0.3760  0.0326  0.2155
Au  0.6240  0.9674  0.7845
Au  0.8685  0.4072  0.8559
Bi  0.2988  0.7870  0.6155
Au  0.1315  0.5928  0.1441
Ge  0.6800  0.6551  0.9848

- ρ (g/cm3) = 12.91
- formation energy from the elements (eV per formula unit) = 0.2
- energy (eV/atom) = -3.682
- space-group type = C2/m, No. 12


No. 9
The following is a GGA-PBE calculation of a relaxed structure of CaAc3Sm, from the Alexandria database.

a = 8.1321 Å, b = 10.3166 Å, c = 10.3166 Å
α = 90.70°, β = 90.00°, γ = 90.00°
Fractional coordinates of all 20 atoms:
Sm  0.8867  0.4016  0.0984
Ac  0.3693  0.4046  0.0954
Ac  0.1197  0.1027  0.1073
Ca  0.7500  0.7495  0.2506
Ac  0.3803  0.8927  0.8973
Sm  0.6133  0.9016  0.5984
Ac  0.6307  0.5954  0.9046
Ca  0.2500  0.7506  0.2495
Sm  0.1133  0.5984  0.9016
Ac  0.3803  0.6027  0.6073
Ac  0.8694  0.0954  0.4046
Ac  0.1306  0.9046  0.5954
Sm  0.3867  0.0984  0.4016
Ac  0.8803  0.8973  0.8927
Ca  0.7500  0.2494  0.7505
Ac  0.6197  0.1073  0.1027
Ac  0.8803  0.6073  0.6027
Ac  0.1197  0.3927  0.3973
Ac  0.6197  0.3973  0.3927
Ca  0.2500  0.2505  0.7494

- ρ (g/cm3) = 6.69
- formation energy from the elements (eV per formula unit) = 0.8
- energy (eV/atom) = -3.655
- space-group type = Cmce, No. 64
- E above lowest polymorph (meV per atom) = 103


No. 10
The following is a GGA-PBE calculation of a relaxed structure of Mg2TlPb, from the Alexandria database.

a = 6.0198 Å, b = 6.0198 Å, c = 5.3287 Å
α = 82.26°, β = 82.26°, γ = 32.84°
Fractional coordinates of all 4 atoms:
Tl  0.7481  0.7481  0.7797
Pb  0.5068  0.5068  0.4674
Mg  0.2519  0.2519  0.2748
Mg  0.9931  0.9931  0.9781

- ρ (g/cm3) = 7.37
- formation energy from the elements (eV per formula unit) = -0.1
- energy (eV/atom) = -2.352
- space-group type = Cm, No. 8
- E above lowest polymorph (meV per atom) = 15


No. 11
The following is a GGA-PBE calculation of a relaxed structure of Ca2SmTm2Se6, from the Alexandria database.

a = 7.1124 Å, b = 7.1124 Å, c = 7.2332 Å
α = 99.25°, β = 99.25°, γ = 120.42°
Fractional coordinates of all 11 atoms:
Se  0.4197  0.0759  0.7391
Se  0.9241  0.5803  0.2609
Se  0.7375  0.7375  0.7436
Ca  0.1649  0.8351  0.0000
Se  0.5803  0.9241  0.2609
Sm  0.0000  0.0000  0.5000
Se  0.2625  0.2625  0.2564
Ca  0.8351  0.1649  0.0000
Tm  0.3348  0.6652  0.5000
Tm  0.6652  0.3348  0.5000
Se  0.0759  0.4197  0.7391

- ρ (g/cm3) = 5.80
- energy (eV/atom) = -5.423
- space-group type = C2/m, No. 12
- formation energy without anion corrections (meV/atom) = -1917


No. 12
The following is a GGA-PBE calculation of a relaxed structure of Ac2Sn6Pt, from the Alexandria database.

a = 4.5944 Å, b = 4.6227 Å, c = 12.6334 Å
α = 90.00°, β = 100.48°, γ = 90.00°
Fractional coordinates of all 9 atoms:
Sn  0.2159  0.5000  0.4318
Sn  0.8823  0.5000  0.7646
Ac  0.9954  0.0000  0.9907
Ac  0.3291  0.0000  0.6583
Sn  0.0994  0.5000  0.1989
Sn  0.7162  0.0000  0.4324
Sn  0.4549  0.5000  0.9097
Sn  0.6000  0.0000  0.2000
Pt  0.7758  0.5000  0.5515

- ρ (g/cm3) = 8.57
- formation energy from the elements (eV per formula unit) = -5.3
- energy (eV/atom) = -4.838
- space-group type = Amm2, No. 38
- E above lowest polymorph (meV per atom) = 0


Copy entry 8 word for word.
The following is a GGA-PBE calculation of a relaxed structure of Ge3Bi3Au8, from the Alexandria database.

a = 4.4580 Å, b = 8.4374 Å, c = 9.4377 Å
α = 66.90°, β = 76.34°, γ = 74.68°
Fractional coordinates of all 14 atoms:
Bi  0.7012  0.2130  0.3845
Au  0.5227  0.6345  0.3200
Ge  0.3200  0.3449  0.0152
Bi  0.0000  0.0000  0.0000
Au  0.4773  0.3655  0.6800
Ge  0.0000  0.5000  0.5000
Au  0.8795  0.8462  0.3948
Au  0.1205  0.1538  0.6052
Au  0.3760  0.0326  0.2155
Au  0.6240  0.9674  0.7845
Au  0.8685  0.4072  0.8559
Bi  0.2988  0.7870  0.6155
Au  0.1315  0.5928  0.1441
Ge  0.6800  0.6551  0.9848

- ρ (g/cm3) = 12.91
- formation energy from the elements (eV per formula unit) = 0.2
- energy (eV/atom) = -3.682
- space-group type = C2/m, No. 12